Record 1
Entry from the Alexandria database: a geometry-optimized Cr4Ru3 structure (GGA-PBE).

## Properties
Electronic total energy: -130.9 eV for the cell shown
Volume: 178.0 Å³ per cell
DFT formation energy: 0.1253 eV/atom

Lattice parameters (Å, degrees): 2.876 2.876 21.529 90.00 90.00 90.00
Space group I4/mmm (No. 139)
Unique sites:
Cr 0.000 0.000 0.075 (multiplicity 4)
Cr 0.000 0.000 0.367 (multiplicity 4)
Ru 0.000 0.000 0.207 (multiplicity 4)
Ru 0.000 0.000 0.500 (multiplicity 2)


Record 2
Entry from the Alexandria database: a geometry-optimized KI4 structure (GGA-PBE).

## Properties
Electronic total energy: -20.4 eV for the cell shown
Volume: 540.4 Å³ per cell
Raw formation energy: -0.58 eV/atom

Lattice parameters (Å, degrees): 6.107 9.339 10.076 102.46 92.23 104.60
Space group P1 (No. 1)
Unique sites:
K 0.000 0.000 0.000 (multiplicity 1)
K 0.499 0.000 0.499 (multiplicity 1)
I 0.091 0.232 0.548 (multiplicity 1)
I 0.148 0.747 0.197 (multiplicity 1)
I 0.155 0.767 0.700 (multiplicity 1)
I 0.361 0.283 0.309 (multiplicity 1)
I 0.592 0.232 0.049 (multiplicity 1)
I 0.647 0.749 0.698 (multiplicity 1)
I 0.655 0.766 0.200 (multiplicity 1)
I 0.861 0.284 0.809 (multiplicity 1)


Record 3
Entry from the Alexandria database: a geometry-optimized EuY2Ni structure (GGA-PBE).

## Properties
Electronic total energy: -29.5 eV for the cell shown
Volume: 111.3 Å³ per cell
DFT formation energy: -0.1335 eV/atom

Lattice parameters (Å, degrees): 3.473 3.473 9.224 90.00 90.00 90.00
Space group P4/mmm (No. 123)
Unique sites:
Eu 0.000 0.000 0.000 (multiplicity 1)
Y 0.500 0.500 0.326 (multiplicity 2)
Ni 0.000 0.000 0.500 (multiplicity 1)